[1]
DFT (PBE) results for a relaxed structure of NaAc12Si6.

Values from the calculation:
Uncorrected energy in eV per atom: -4.595
Distance to the lowest polymorph of the same formula in eV/atom: 0.1193
E_form (uncorrected) in eV per atom: -0.218
Mass density in g/cm³: 6.5

abc: 9.406 9.406 9.406
angles: 103.85 103.85 103.85
Fractional coordinates of all 19 atoms:
1 Na 0.000 0.000 0.000
2 Ac 0.130 0.500 0.870
3 Ac 0.130 0.870 0.500
4 Ac 0.181 0.453 0.453
5 Ac 0.453 0.181 0.453
6 Ac 0.453 0.453 0.181
7 Ac 0.500 0.130 0.870
8 Ac 0.500 0.870 0.130
9 Ac 0.547 0.547 0.819
10 Ac 0.547 0.819 0.547
11 Ac 0.819 0.547 0.547
12 Ac 0.870 0.130 0.500
13 Ac 0.870 0.500 0.130
14 Si 0.246 0.246 0.677
15 Si 0.246 0.677 0.246
16 Si 0.323 0.754 0.754
17 Si 0.677 0.246 0.246
18 Si 0.754 0.323 0.754
19 Si 0.754 0.754 0.323

=====

[2]
DFT (PBE) results for a relaxed structure of NaAc2Si6.

Values from the calculation:
Uncorrected energy in eV per atom: -4.864
E_form (uncorrected) in eV per atom: -0.190
Mass density in g/cm³: 4.6

abc: 8.527 8.527 8.527
angles: 148.52 133.55 57.19
Fractional coordinates of all 9 atoms:
1 Na 0.000 0.000 0.000
2 Ac 0.336 0.836 0.500
3 Ac 0.664 0.164 0.500
4 Si 0.036 0.362 0.674
5 Si 0.313 0.638 0.674
6 Si 0.327 0.500 0.827
7 Si 0.673 0.500 0.173
8 Si 0.687 0.362 0.326
9 Si 0.964 0.638 0.326

=====

[3]
DFT (PBE) results for a relaxed structure of NaAc6Si3.

Values from the calculation:
Uncorrected energy in eV per atom: -4.382
E_form (uncorrected) in eV per atom: -0.158
Mass density in g/cm³: 6.7

abc: 8.236 8.247 12.819
angles: 90.00 123.31 90.00
Fractional coordinates of all 20 atoms:
1 Na 0.000 0.000 0.000
2 Na 0.000 0.500 0.500
3 Ac 0.122 0.162 0.427
4 Ac 0.122 0.338 0.927
5 Ac 0.274 0.676 0.409
6 Ac 0.274 0.824 0.909
7 Ac 0.497 0.101 0.272
8 Ac 0.497 0.399 0.772
9 Ac 0.503 0.601 0.228
10 Ac 0.503 0.899 0.728
11 Ac 0.726 0.176 0.091
12 Ac 0.726 0.324 0.591
13 Ac 0.878 0.662 0.073
14 Ac 0.878 0.838 0.573
15 Si 0.154 0.138 0.707
16 Si 0.154 0.362 0.207
17 Si 0.500 0.000 0.500
18 Si 0.500 0.500 0.000
19 Si 0.846 0.638 0.793
20 Si 0.846 0.862 0.293